Arrangement one

Computed, not measured: a relaxed Tc2AgF8 crystal at the GGA-PBE level of DFT.

Its magnetization is 5.8 μB/f.u. Its density of states at the Fermi level is 1.24 states/eV per cell.

The structure belongs to space group P-1 (No. 2); the cell edges are 4.285, 6.537 and 6.550 Å and the angles 72.31°, 89.01° and 89.12°. The distinct sites, in fractional coordinates, are Tc at (0.250, 0.115, 0.115), Ag at (0.500, 0.500, 0.500), F at (0.245, 0.294, 0.296), F at (0.248, 0.855, 0.356), F at (0.249, 0.904, 0.903) and F at (0.250, 0.357, 0.856).

=====

Arrangement two

Computed, not measured: a relaxed Tc2AgF8 crystal at the GGA-PBE level of DFT.

Its magnetization is 5.0 μB/f.u. Its density of states at the Fermi level is 0.83 states/eV per cell.

The structure belongs to space group C2/m (No. 12); the cell edges are 10.992, 6.071 and 5.568 Å and the angles 90.00°, 96.14° and 90.00°. The distinct sites, in fractional coordinates, are Tc at (0.245, 0.000, 0.001), Ag at (0.000, 0.500, 0.500), F at (0.139, 0.000, 0.250), F at (0.147, 0.256, 0.827) and F at (0.148, 0.500, 0.259).

=====

The structure with the most favorable energy is arrangement two; the runner-up is 4.6 kJ/mol of atoms above it.

=====

Arrangement one

Computed, not measured: a relaxed TcAg2F6 crystal at the GGA-PBE level of DFT.

Its magnetization is 3.0 μB/f.u.

The structure belongs to space group Pnnm (No. 58); the cell edges are 6.044, 6.124 and 9.121 Å and the angles 90.00°, 90.00° and 90.00°. The distinct sites, in fractional coordinates, are Tc at (0.000, 0.000, 0.000), Ag at (0.000, 0.500, 0.213), F at (0.171, 0.273, 0.000) and F at (0.187, 0.866, 0.154).

=====

Arrangement two

Computed, not measured: a relaxed TcAg2F6 crystal at the GGA-PBE level of DFT.

Its magnetization is 3.0 μB/f.u.

The structure belongs to space group P4_2/mnm (No. 136); the cell edges are 5.318, 5.318 and 10.707 Å and the angles 90.00°, 90.00° and 90.00°. The distinct sites, in fractional coordinates, are Tc at (0.000, 0.000, 0.000), Ag at (0.000, 0.000, 0.339), F at (0.178, 0.178, 0.136) and F at (0.238, 0.238, 0.500).

=====

The structure with the most favorable energy is arrangement two; the runner-up is 0.9 kJ/mol of atoms above it.

=====

Arrangement one

Computed, not measured: a relaxed TcAg2F crystal at the GGA-PBE level of DFT.

Its magnetization is 3.6 μB/f.u. Its density of states at the Fermi level is 7.67 states/eV per cell.

The structure belongs to space group Fm-3m (No. 225); the cell edges are 6.465, 6.465 and 6.465 Å and the angles 90.00°, 90.00° and 90.00°. The distinct sites, in fractional coordinates, are Tc at (0.000, 0.000, 0.000), Ag at (0.250, 0.250, 0.250) and F at (0.000, 0.000, 0.500).

=====

Arrangement two

Computed, not measured: a relaxed TcAg2F crystal at the GGA-PBE level of DFT.

Its magnetization is 3.9 μB/f.u. Its density of states at the Fermi level is 4.02 states/eV per cell.

The structure belongs to space group I-42d (No. 122); the cell edges are 7.227, 7.227 and 5.335 Å and the angles 90.00°, 90.00° and 90.00°. The distinct sites, in fractional coordinates, are Tc at (0.000, 0.000, 0.000), Ag at (0.209, 0.250, 0.625) and F at (0.000, 0.000, 0.500).

=====

The structure with the most favorable energy is arrangement two; the runner-up is 10.3 kJ/mol of atoms above it.

=====

Arrangement one

Computed, not measured: a relaxed Ag2Te2F crystal at the GGA-PBE level of DFT.

Its magnetization is 0.0 μB/f.u. Its density of states at the Fermi level is 0.19 states/eV per cell.

The structure belongs to space group P1 (No. 1); the cell edges are 4.949, 6.171 and 8.232 Å and the angles 91.45°, 90.32° and 98.72°. The distinct sites, in fractional coordinates, are Ag at (0.000, 0.000, 0.000), Ag at (0.157, 0.354, 0.247), Ag at (0.528, 0.371, 0.540), Ag at (0.756, 0.577, 0.841), Te at (0.034, 0.251, 0.718), Te at (0.278, 0.629, 0.986), Te at (0.628, 0.109, 0.254), Te at (0.747, 0.831, 0.509), F at (0.051, 0.735, 0.362) and F at (0.416, 0.918, 0.632).

=====

Arrangement two

Computed, not measured: a relaxed Ag2Te2F crystal at the GGA-PBE level of DFT.

Its magnetization is 0.0 μB/f.u. Its density of states at the Fermi level is 1.19 states/eV per cell.

The structure belongs to space group P1 (No. 1); the cell edges are 3.224, 6.314 and 6.407 Å and the angles 119.35°, 90.38° and 90.00°. The distinct sites, in fractional coordinates, are Ag at (0.000, 0.000, 0.000), Ag at (0.500, 0.371, 0.998), Te at (0.000, 0.475, 0.442), Te at (0.001, 0.031, 0.555) and F at (0.500, 0.728, 0.997).

=====

Arrangement three

Computed, not measured: a relaxed Ag2Te2F crystal at the GGA-PBE level of DFT.

Its magnetization is 0.0 μB/f.u. Its density of states at the Fermi level is 7.60 states/eV per cell.

The structure belongs to space group Immm (No. 71); the cell edges are 3.206, 5.853 and 11.847 Å and the angles 90.00°, 90.00° and 90.00°. The distinct sites, in fractional coordinates, are Ag at (0.000, 0.000, 0.152), Te at (0.000, 0.500, 0.137) and F at (0.000, 0.500, 0.500).

=====

Arrangement four

Computed, not measured: a relaxed Ag2Te2F crystal at the GGA-PBE level of DFT.

Its magnetization is 0.0 μB/f.u. Its density of states at the Fermi level is 0.23 states/eV per cell.

The structure belongs to space group P1 (No. 1); the cell edges are 6.198, 6.953 and 7.377 Å and the angles 112.43°, 95.90° and 111.34°. The distinct sites, in fractional coordinates, are Ag at (0.000, 0.000, 0.000), Ag at (0.178, 0.871, 0.319), Ag at (0.469, 0.744, 0.839), Ag at (0.713, 0.408, 0.332), Te at (0.473, 0.693, 0.441), Te at (0.728, 0.570, 0.012), Te at (0.967, 0.470, 0.702), Te at (0.968, 0.044, 0.638), F at (0.096, 0.357, 0.277) and F at (0.412, 0.034, 0.114).

=====

The structure with the most favorable energy is arrangement one; the runner-up is 1.1 kJ/mol of atoms above it.

=====

Arrangement one

Computed, not measured: a relaxed Ag2Te2F crystal at the GGA-PBE level of DFT.

Its magnetization is 0.0 μB/f.u. Its density of states at the Fermi level is 6.00 states/eV per cell.

The structure belongs to space group Cc (No. 9); the cell edges are 10.579, 7.358 and 6.196 Å and the angles 90.00°, 90.37° and 90.00°. The distinct sites, in fractional coordinates, are Ag at (0.000, 0.053, 0.000), Ag at (0.319, 0.130, 0.568), Te at (0.204, 0.453, 0.674), Te at (0.458, 0.194, 0.168) and F at (0.169, 0.068, 0.255).

=====

Arrangement two

Computed, not measured: a relaxed Ag2Te2F crystal at the GGA-PBE level of DFT.

Its magnetization is 0.0 μB/f.u. Its density of states at the Fermi level is 0.22 states/eV per cell.

The structure belongs to space group P1 (No. 1); the cell edges are 5.954, 6.663 and 7.377 Å and the angles 113.30°, 94.64° and 113.63°. The distinct sites, in fractional coordinates, are Ag at (0.000, 0.000, 0.000), Ag at (0.029, 0.634, 0.567), Ag at (0.492, 0.050, 0.934), Ag at (0.928, 0.529, 0.016), Te at (0.162, 0.960, 0.378), Te at (0.380, 0.431, 0.999), Te at (0.549, 0.665, 0.660), Te at (0.639, 0.895, 0.393), F at (0.797, 0.204, 0.259) and F at (0.830, 0.275, 0.658).

=====

Arrangement three

Computed, not measured: a relaxed Ag2Te2F crystal at the GGA-PBE level of DFT.

Its magnetization is 0.0 μB/f.u. Its density of states at the Fermi level is 1.25 states/eV per cell.

The structure belongs to space group P1 (No. 1); the cell edges are 4.781, 6.247 and 8.955 Å and the angles 81.90°, 75.03° and 69.36°. The distinct sites, in fractional coordinates, are Ag at (0.000, 0.000, 0.000), Ag at (0.171, 0.915, 0.406), Ag at (0.352, 0.308, 0.033), Ag at (0.734, 0.096, 0.714), Te at (0.150, 0.391, 0.764), Te at (0.315, 0.804, 0.701), Te at (0.638, 0.177, 0.287), Te at (0.744, 0.614, 0.224), F at (0.498, 0.676, 0.045) and F at (0.947, 0.558, 0.411).

=====

The structure with the most favorable energy is arrangement three; the runner-up is 4.6 kJ/mol of atoms above it.